Ba3Ca4Tl4 GGA-PBE optimized geometry; space group = Immm; DFT total energy = -2.43 eV/atom; E_form = -0.315 eV/atom; calculated volume = 431.12 Å³ per cell
1.0
4.3773 0.0000 0.0000
0.0000 10.2112 0.0000
-2.1887 -5.1056 9.6452
Tl Ca Ba
4 4 3
Direct
0.5000 0.2158 0.0000
0.5000 0.7842 0.0000
0.7538 0.2538 0.5077
0.2462 0.7462 0.4923
0.6718 0.4815 0.3436
0.3282 0.5185 0.6564
0.6718 0.8621 0.3436
0.3282 0.1379 0.6564
0.1048 0.1048 0.2097
0.0000 0.5000 0.0000
0.8952 0.8952 0.7903

---

Mg2TaMo GGA-PBE optimized geometry; space group = I-42d; DFT total energy = -5.53 eV/atom; E_form = 0.940 eV/atom; polymorph energy (0 for the lowest one) = 791 meV/atom; calculated volume = 152.64 Å³ per cell
1.0
-0.5893 3.5081 6.6963
-2.1921 -6.5073 3.2162
1.1424 -2.0899 5.4884
Mo Ta Mg
2 2 4
Direct
0.2500 0.7500 0.5000
0.5000 0.5000 0.0000
0.0000 0.0000 0.0000
0.7500 0.2500 0.5000
0.1383 0.6250 0.2500
0.8750 0.8617 0.7500
0.3750 0.3883 0.7500
0.6117 0.1250 0.2500

---

NdAl3Au3 GGA-PBE optimized geometry; space group = P2_1/m; DFT total energy = -4.21 eV/atom; E_form = -0.520 eV/atom; polymorph energy (0 for the lowest one) = 0 meV/atom; calculated volume = 288.71 Å³ per cell
1.0
-3.9540 -2.2005 0.2297
1.1247 -2.7367 -6.8569
3.2662 -5.0754 7.6025
Au Al Nd
6 6 2
Direct
0.2500 0.0681 0.6045
0.7500 0.6496 0.5399
0.2500 0.3504 0.4601
0.7500 0.3099 0.0388
0.7500 0.9319 0.3955
0.2500 0.6901 0.9612
0.2500 0.7528 0.7147
0.7500 0.0184 0.7425
0.7500 0.2472 0.2853
0.2500 0.9816 0.2575
0.2500 0.2802 0.9028
0.7500 0.7198 0.0972
0.2500 0.5727 0.2784
0.7500 0.4273 0.7216

---

BaAcAu2 GGA-PBE optimized geometry; space group = R3m; DFT total energy = -3.84 eV/atom; E_form = -0.694 eV/atom; polymorph energy (0 for the lowest one) = 46 meV/atom; calculated volume = 143.12 Å³ per cell
1.0
4.5388 0.0000 0.0000
2.2694 3.9307 0.0000
2.2694 1.3102 8.0224
Ac Au Ba
1 2 1
Direct
0.6687 0.6687 0.9939
0.0768 0.0768 0.7697
0.2572 0.2572 0.2284
0.4973 0.4973 0.5081

---

Look up the DFT total energy of the fourth one.
-3.84 eV/atom

---

What is the formula in the second record?
Mg2TaMo

---

The highest calculated volume belongs to which entry?
Ba3Ca4Tl4

---

E_form of number 2 (Mg2TaMo)?
0.940 eV/atom